Entry from Alexandria: a geometry-optimized NbHO2F structure (PBE).

a = 3.919 Å, b = 3.919 Å, c = 4.173 Å
α = 90.00°, β = 90.00°, γ = 90.00°
Positions (direct):
Nb (0.000, 0.000, 0.000)
H (0.500, 0.500, 0.500)
O (0.000, 0.500, 0.000)
O (0.500, 0.000, 0.000)
F (0.000, 0.000, 0.500)

Total magnetic moment, μB/atom: 0.20
Raw total energy, eV per cell: -33.311